## Sc2Ga4Tc3 (PBE)

Data for crystalline Sc2Ga4Tc3 at its relaxed geometry.

```
data_Sc2Ga4Tc3
_chemical_formula_sum 'Sc2 Ga4 Tc3'
_cell_length_a 5.280
_cell_length_b 5.280
_cell_length_c 6.919
_cell_angle_alpha 100.72
_cell_angle_beta 100.72
_cell_angle_gamma 120.83
_symmetry_space_group_name_H-M 'P 1'
_symmetry_Int_Tables_number 1
_symmetry_space_group_name_Hall 'P 1'
loop_
_atom_site_label
_atom_site_fract_x
_atom_site_fract_y
_atom_site_fract_z
_atom_site_occupancy
Tc1 0.000 0.000 0.000 1
Ga1 0.987 0.667 0.654 1
Ga2 0.013 0.333 0.346 1
Ga3 0.667 0.987 0.654 1
Sc1 0.622 0.622 0.244 1
Sc2 0.378 0.378 0.756 1
Tc2 0.000 0.500 0.000 1
Ga4 0.333 0.013 0.346 1
Tc3 0.500 0.000 0.000 1
```

Computed properties:
Offset from the most stable computed form, eV/f.u.: 0.73
Size of the total moment, Bohr magnetons per cell: 0.000
DFT formation energy, kJ/mol of atoms: -35.5
Space-group type: Fmmm, No. 69